PBE-GGA YTaTe2Pt, relaxed; calculated density = 7.3 g/cm3; final energy = -23.0 eV for the cell shown; M_tot = 1.3 μB per formula unit
1.0
5.551 0.000 0.000
0.000 5.551 0.000
0.000 0.000 5.319
Y Ta Te Pt
1 1 2 1
Cartesian
0.000 0.000 0.000
0.000 0.000 2.660
0.000 2.775 0.000
2.775 0.000 0.000
2.775 2.775 2.660